(1)
K2AsPCO7 (PBEsol, optimized geometry); crystal system = monoclinic; total moment = 0.00 μB per atom; ρ = 2.6 g/cm3; E = -6.7724 eV per atom
1.0
6.191 0.000 0.000
0.000 6.692 0.000
-0.940 0.000 9.667
K As P C O
4 2 2 2 14
Direct
0.218 0.009 0.270
0.218 0.491 0.270
0.782 0.509 0.730
0.782 0.991 0.730
0.358 0.250 0.872
0.642 0.750 0.128
0.279 0.750 0.905
0.721 0.250 0.095
0.249 0.250 0.609
0.751 0.750 0.391
0.036 0.750 0.882
0.082 0.250 0.678
0.256 0.250 0.482
0.343 0.750 0.071
0.393 0.564 0.848
0.393 0.936 0.848
0.441 0.250 0.693
0.559 0.750 0.307
0.607 0.064 0.152
0.607 0.436 0.152
0.657 0.250 0.929
0.744 0.750 0.518
0.918 0.750 0.322
0.964 0.250 0.118

---

(2)
CdSnC2O (PBEsol, optimized geometry); crystal system = tetragonal; total moment = 0.37 μB per atom; ρ = 4.6 g/cm3; E = -3.5879 eV per atom
1.0
4.047 0.000 0.000
0.000 4.047 0.000
0.000 0.000 6.022
Cd Sn C O
1 1 2 1
Direct
0.000 0.000 0.000
0.000 0.000 0.500
0.000 0.500 0.500
0.500 0.000 0.500
0.500 0.500 0.000

---

(3)
KBaCa2O (PBEsol, optimized geometry); crystal system = tetragonal; total moment = 0.02 μB per atom; ρ = 1.7 g/cm3; E = -2.6237 eV per atom
1.0
7.608 0.000 0.000
0.000 7.608 0.000
0.000 0.000 4.621
K Ba Ca O
1 1 2 1
Direct
0.000 0.000 0.000
0.500 0.500 0.500
0.000 0.500 0.500
0.500 0.000 0.500
0.500 0.500 0.000

---

Which formula does entry 3 have?
KBaCa2O

---

What is the formula in the first record?
K2AsPCO7

---

Which of these has the highest total moment?
CdSnC2O